## La8Co3PBr4 (PBE-GGA)

Data for an optimized crystal structure of La8Co3PBr4.

Results
The value obtained for the density of states at the Fermi level is 9.21 states/eV/cell. The value obtained for the formation energy without anion corrections is -975 meV per atom. The calculation puts the electronic total energy at -0.406 Ry/atom. Its space group is C2/m.

a b c (Å): 8.4179 8.4179 9.1003
angles (deg): 117.21 117.21 57.79
Atoms (fractional coordinates):
La  0.2206  0.7502  0.6970
La  0.2404  0.2404  0.6940
La  0.2498  0.7794  0.3030
La  0.2620  0.2620  0.3111
La  0.7380  0.7380  0.6889
La  0.7502  0.2206  0.6970
La  0.7596  0.7596  0.3060
La  0.7794  0.2498  0.3030
Co  0.0000  0.0000  0.5000
Co  0.0000  0.5000  0.5000
Co  0.5000  0.0000  0.5000
P  0.5000  0.5000  0.5000
Br  0.0000  0.0000  0.0000
Br  0.0000  0.5000  0.0000
Br  0.5000  0.0000  0.0000
Br  0.5000  0.5000  0.0000

=====

## La6Co2PBr3 (PBE-GGA)

Data for an optimized crystal structure of La6Co2PBr3.

Results
The value obtained for the density of states at the Fermi level is 8.80 states/eV/cell. The value obtained for the formation energy without anion corrections is -1043 meV per atom. The calculation puts the electronic total energy at -0.409 Ry/atom. Its space group is C2/m.

a b c (Å): 7.3239 7.3239 8.0338
angles (deg): 97.65 97.65 122.06
Atoms (fractional coordinates):
La  0.0724  0.4160  0.8095
La  0.2281  0.2281  0.2064
La  0.4160  0.0724  0.8095
La  0.5840  0.9276  0.1905
La  0.7719  0.7719  0.7936
La  0.9276  0.5840  0.1905
Co  0.1657  0.8343  0.0000
Co  0.8343  0.1657  0.0000
P  0.5000  0.5000  0.0000
Br  0.0000  0.0000  0.5000
Br  0.3335  0.6665  0.5000
Br  0.6665  0.3335  0.5000

=====

## La8Co3PBr3 (PBE-GGA)

Data for an optimized crystal structure of La8Co3PBr3.

Results
The value obtained for the density of states at the Fermi level is 11.98 states/eV/cell. The value obtained for the formation energy without anion corrections is -803 meV per atom. The calculation puts the electronic total energy at -0.408 Ry/atom. Its space group is C2/m.

a b c (Å): 8.4797 8.4797 8.7989
angles (deg): 117.70 117.70 57.19
Atoms (fractional coordinates):
La  0.2199  0.7564  0.7065
La  0.2431  0.2431  0.6984
La  0.2436  0.7801  0.2935
La  0.2610  0.2610  0.3073
La  0.7390  0.7390  0.6927
La  0.7564  0.2199  0.7065
La  0.7569  0.7569  0.3016
La  0.7801  0.2436  0.2935
Co  0.0000  0.0000  0.5000
Co  0.0000  0.5000  0.5000
Co  0.5000  0.0000  0.5000
P  0.5000  0.5000  0.5000
Br  0.0000  0.5000  0.0000
Br  0.5000  0.0000  0.0000
Br  0.5000  0.5000  0.0000

=====

## La4CoPdBr2 (PBE-GGA)

Data for an optimized crystal structure of La4CoPdBr2.

Results
The value obtained for the density of states at the Fermi level is 4.83 states/eV/cell. The value obtained for the formation energy without anion corrections is -964 meV per atom. The calculation puts the electronic total energy at -0.396 Ry/atom. Its space group is P2/m.

a b c (Å): 7.2938 4.1674 8.2538
angles (deg): 90.00 106.94 90.00
Atoms (fractional coordinates):
La  0.2178  0.0000  0.1942
La  0.2494  0.5000  0.8035
La  0.7506  0.5000  0.1965
La  0.7822  0.0000  0.8058
Co  0.0000  0.5000  0.0000
Pd  0.5000  0.0000  0.0000
Br  0.0000  0.0000  0.5000
Br  0.5000  0.5000  0.5000

=====

## La8CoPd3Br4 (PBE-GGA)

Data for an optimized crystal structure of La8CoPd3Br4.

Results
The value obtained for the density of states at the Fermi level is 12.51 states/eV/cell. The value obtained for the formation energy without anion corrections is -1023 meV per atom. The calculation puts the electronic total energy at -0.391 Ry/atom. Its space group is R-3m.

a b c (Å): 9.2845 9.2845 9.2845
angles (deg): 54.34 54.34 54.34
Atoms (fractional coordinates):
La  0.2340  0.2340  0.2340
La  0.2488  0.7243  0.7243
La  0.2757  0.2757  0.7512
La  0.2757  0.7512  0.2757
La  0.7243  0.2488  0.7243
La  0.7243  0.7243  0.2488
La  0.7512  0.2757  0.2757
La  0.7660  0.7660  0.7660
Co  0.5000  0.5000  0.5000
Pd  0.0000  0.0000  0.5000
Pd  0.0000  0.5000  0.0000
Pd  0.5000  0.0000  0.0000
Br  0.0000  0.0000  0.0000
Br  0.0000  0.5000  0.5000
Br  0.5000  0.0000  0.5000
Br  0.5000  0.5000  0.0000

=====

## La6CoPd2Br3 (PBE-GGA)

Data for an optimized crystal structure of La6CoPd2Br3.

Results
The value obtained for the density of states at the Fermi level is 8.96 states/eV/cell. The value obtained for the formation energy without anion corrections is -1012 meV per atom. The calculation puts the electronic total energy at -0.393 Ry/atom. Its space group is C2/m.

a b c (Å): 7.3286 7.3286 8.2475
angles (deg): 98.45 98.45 120.13
Atoms (fractional coordinates):
La  0.0657  0.3798  0.1970
La  0.2484  0.2484  0.8034
La  0.3798  0.0657  0.1970
La  0.6202  0.9343  0.8030
La  0.7516  0.7516  0.1966
La  0.9343  0.6202  0.8030
Co  0.0000  0.0000  0.0000
Pd  0.3331  0.6669  0.0000
Pd  0.6669  0.3331  0.0000
Br  0.1644  0.8356  0.5000
Br  0.5000  0.5000  0.5000
Br  0.8356  0.1644  0.5000

=====

## LaPmCoBr (PBE-GGA)

Data for an optimized crystal structure of LaPmCoBr.

Results
The value obtained for the density of states at the Fermi level is 3.93 states/eV/cell. The value obtained for the formation energy without anion corrections is -766 meV per atom. The calculation puts the electronic total energy at -0.395 Ry/atom. Its space group is R3m.

a b c (Å): 3.9888 3.9888 23.8233
angles (deg): 90.00 90.00 120.00
Atoms (fractional coordinates):
La  0.0000  0.0000  0.0000
La  0.3333  0.6667  0.6667
La  0.6667  0.3333  0.3333
Pm  0.0000  0.0000  0.2064
Pm  0.3333  0.6667  0.8730
Pm  0.6667  0.3333  0.5397
Co  0.0000  0.0000  0.6046
Co  0.3333  0.6667  0.2713
Co  0.6667  0.3333  0.9379
Br  0.0000  0.0000  0.7752
Br  0.3333  0.6667  0.4419
Br  0.6667  0.3333  0.1085

=====

## La6CoPt2Br3 (PBE-GGA)

Data for an optimized crystal structure of La6CoPt2Br3.

Results
The value obtained for the density of states at the Fermi level is 8.81 states/eV/cell. The value obtained for the formation energy without anion corrections is -1182 meV per atom. The calculation puts the electronic total energy at -0.416 Ry/atom. Its space group is C2/m.

a b c (Å): 7.3259 7.3259 8.2332
angles (deg): 98.46 98.46 120.11
Atoms (fractional coordinates):
La  0.0652  0.3828  0.1956
La  0.2523  0.2523  0.8046
La  0.3828  0.0652  0.1956
La  0.6172  0.9348  0.8044
La  0.7477  0.7477  0.1954
La  0.9348  0.6172  0.8044
Co  0.0000  0.0000  0.0000
Pt  0.3332  0.6668  0.0000
Pt  0.6668  0.3332  0.0000
Br  0.1642  0.8358  0.5000
Br  0.5000  0.5000  0.5000
Br  0.8358  0.1642  0.5000

=====

## La6Co2PtBr3 (PBE-GGA)

Data for an optimized crystal structure of La6Co2PtBr3.

Results
The value obtained for the density of states at the Fermi level is 6.17 states/eV/cell. The value obtained for the formation energy without anion corrections is -1009 meV per atom. The calculation puts the electronic total energy at -0.410 Ry/atom. Its space group is C2/m.

a b c (Å): 7.1860 7.1860 8.2386
angles (deg): 98.30 98.30 120.08
Atoms (fractional coordinates):
La  0.0865  0.4349  0.8065
La  0.2159  0.2159  0.1934
La  0.4349  0.0865  0.8065
La  0.5651  0.9135  0.1935
La  0.7841  0.7841  0.8066
La  0.9135  0.5651  0.1935
Co  0.1667  0.8333  0.0000
Co  0.8333  0.1667  0.0000
Pt  0.5000  0.5000  0.0000
Br  0.0000  0.0000  0.5000
Br  0.3329  0.6671  0.5000
Br  0.6671  0.3329  0.5000

=====

## Rb2LaCoBr6 (PBE-GGA)

Data for an optimized crystal structure of Rb2LaCoBr6.

Results
The value obtained for the density of states at the Fermi level is 0.00 states/eV/cell. The value obtained for the formation energy without anion corrections is -1415 meV per atom. The calculation puts the electronic total energy at -0.280 Ry/atom. Its space group is Fm-3m.

a b c (Å): 7.8578 7.8578 7.8578
angles (deg): 60.00 60.00 60.00
Atoms (fractional coordinates):
Rb  0.2500  0.2500  0.2500
Rb  0.7500  0.7500  0.7500
La  0.0000  0.0000  0.0000
Co  0.5000  0.5000  0.5000
Br  0.2631  0.2631  0.7369
Br  0.2631  0.7369  0.2631
Br  0.2631  0.7369  0.7369
Br  0.7369  0.2631  0.2631
Br  0.7369  0.2631  0.7369
Br  0.7369  0.7369  0.2631

=====

## La6CoRh2Br3 (PBE-GGA)

Data for an optimized crystal structure of La6CoRh2Br3.

Results
The value obtained for the density of states at the Fermi level is 4.47 states/eV/cell. The value obtained for the formation energy without anion corrections is -1070 meV per atom. The calculation puts the electronic total energy at -0.424 Ry/atom. Its space group is C2/m.

a b c (Å): 7.1831 7.1831 8.2851
angles (deg): 98.30 98.30 120.01
Atoms (fractional coordinates):
La  0.0650  0.3893  0.1946
La  0.2593  0.2593  0.8054
La  0.3893  0.0650  0.1946
La  0.6107  0.9350  0.8054
La  0.7407  0.7407  0.1946
La  0.9350  0.6107  0.8054
Co  0.0000  0.0000  0.0000
Rh  0.3332  0.6668  0.0000
Rh  0.6668  0.3332  0.0000
Br  0.1659  0.8341  0.5000
Br  0.5000  0.5000  0.5000
Br  0.8341  0.1659  0.5000

=====

## La6Co2RhBr3 (PBE-GGA)

Data for an optimized crystal structure of La6Co2RhBr3.

Results
The value obtained for the density of states at the Fermi level is 3.57 states/eV/cell. The value obtained for the formation energy without anion corrections is -951 meV per atom. The calculation puts the electronic total energy at -0.414 Ry/atom. Its space group is C2/m.

a b c (Å): 10.1102 10.1102 9.2406
angles (deg): 111.78 111.78 23.38
Atoms (fractional coordinates):
La  0.0157  0.0157  0.2265
La  0.3197  0.3197  0.4491
La  0.3423  0.3423  0.8789
La  0.6577  0.6577  0.1211
La  0.6803  0.6803  0.5509
La  0.9843  0.9843  0.7735
Co  0.1678  0.1678  0.3347
Co  0.8322  0.8322  0.6653
Rh  0.5000  0.5000  0.0000
Br  0.1661  0.1661  0.8324
Br  0.5000  0.5000  0.5000
Br  0.8339  0.8339  0.1676